A geometry-optimized Ho5Er6Pu structure, computed with GGA-PBE.

Cell: 10.647 10.647 3.653 Å, 99.90 99.90 110.75°
Site moments in Bohr magnetons follow the coordinates.
Fractional positions:
1 Pu 0.000 0.000 0.000  -5.73
2 Ho 0.850 0.150 0.500  -0.16
3 Ho 0.683 0.317 0.000  -0.04
4 Ho 0.500 0.500 0.500  0.01
5 Ho 0.317 0.683 0.000  -0.04
6 Ho 0.150 0.850 0.500  -0.16
7 Er 0.415 0.081 0.248  -0.07
8 Er 0.919 0.585 0.752  -0.07
9 Er 0.240 0.240 0.740  -0.15
10 Er 0.760 0.760 0.260  -0.15
11 Er 0.081 0.415 0.248  -0.07
12 Er 0.585 0.919 0.752  -0.07

theoretical density: 9322 kg/m3
total DFT energy (no corrections): -5.256 eV/atom


A geometry-optimized Sc12Co6Sn structure, computed with GGA-PBE.

Cell: 7.785 7.785 7.785 Å, 109.47 109.47 109.47°
Fractional positions:
1 Sc 0.297 0.098 0.801
2 Sc 0.297 0.496 0.199
3 Sc 0.703 0.504 0.801
4 Sc 0.703 0.902 0.199
5 Sc 0.098 0.801 0.297
6 Sc 0.496 0.199 0.297
7 Sc 0.504 0.801 0.703
8 Sc 0.902 0.199 0.703
9 Sc 0.801 0.297 0.098
10 Sc 0.199 0.297 0.496
11 Sc 0.801 0.703 0.504
12 Sc 0.199 0.703 0.902
13 Co 0.380 0.500 0.880
14 Co 0.620 0.500 0.120
15 Co 0.500 0.880 0.380
16 Co 0.500 0.120 0.620
17 Co 0.880 0.380 0.500
18 Co 0.120 0.620 0.500
19 Sn 0.000 0.000 0.000

theoretical density: 4626 kg/m3
total DFT energy (no corrections): -6.806 eV/atom


A geometry-optimized Sr2BiCl structure, computed with GGA-PBE.

Cell: 4.740 4.740 8.449 Å, 73.71 73.71 60.00°
Fractional positions:
1 Sr 0.078 0.078 0.765
2 Sr 0.262 0.262 0.215
3 Bi 0.668 0.668 0.994
4 Cl 0.491 0.491 0.526

theoretical density: 4482 kg/m3
E_form (uncorrected): -1.34 eV per atom


A geometry-optimized KTlGeSb2 structure, computed with GGA-PBE.

Cell: 5.934 5.753 5.934 Å, 90.00 90.00 90.00°
Fractional positions:
1 K 0.000 0.000 0.000
2 Sb 0.000 0.000 0.500
3 Sb 0.500 0.000 0.000
4 Tl 0.000 0.500 0.000
5 Ge 0.500 0.500 0.500

theoretical density: 4587 kg/m3
E_form (uncorrected): 1.13 eV per atom